First-principles (PBE-GGA) data for an optimized crystal structure of La3Tm6Th, as listed in Alexandria.

POSCAR file:
```
La3Tm6Th
1.0
4.737 -7.520 0.000
4.737 7.520 0.000
0.000 0.000 9.244
La Tm Th
6 12 2
Cartesian
4.737 7.061 4.622
3.169 2.181 0.122
3.169 -2.181 4.744
6.305 2.181 0.122
6.305 -2.181 4.744
4.737 -7.061 0.000
1.746 2.282 6.235
4.737 4.587 7.391
2.863 1.051 3.210
1.746 -2.282 1.613
2.863 -1.051 7.832
4.737 1.014 6.077
4.737 -1.014 1.455
6.611 1.051 3.210
7.729 2.282 6.235
6.611 -1.051 7.832
4.737 -4.587 2.769
7.729 -2.282 1.613
4.737 3.662 4.209
4.737 -3.662 8.831
```

Computed properties:
- E_tot: -94.858 eV for the cell shown
- Mass density: 8.4 g/cm3
- Energy of formation from the pure elements: 0.1602 eV per atom

First-principles (PBE-GGA) data for an optimized crystal structure of La4Tm5Th2, as listed in Alexandria.

POSCAR file:
```
La4Tm5Th2
1.0
3.603 0.000 0.000
0.000 8.788 0.000
1.799 2.759 11.418
La Tm Th
4 5 2
Cartesian
0.898 2.787 3.743
2.696 8.605 10.945
2.706 2.942 0.474
4.504 8.760 7.675
0.900 5.774 5.709
0.900 8.705 1.594
2.702 5.671 8.791
2.700 5.876 2.627
4.502 2.842 9.824
2.707 2.870 6.776
2.695 8.677 4.642
```

Computed properties:
- E_tot: -56.521 eV for the cell shown
- Mass density: 8.6 g/cm3
- Energy of formation from the pure elements: 0.0351 eV per atom

First-principles (PBE-GGA) data for an optimized crystal structure of La5Tm2Th, as listed in Alexandria.

POSCAR file:
```
La5Tm2Th
1.0
7.319 0.000 0.000
0.000 14.626 0.000
0.000 0.000 5.146
La Tm Th
10 4 2
Cartesian
0.000 0.000 0.000
0.073 3.706 0.000
1.810 5.518 2.573
1.850 12.831 2.573
3.586 11.019 0.000
3.660 7.313 0.000
3.733 3.607 0.000
5.469 1.795 2.573
5.509 9.108 2.573
7.246 10.920 0.000
1.742 9.073 2.573
1.918 1.760 2.573
5.401 12.866 2.573
5.578 5.553 2.573
0.000 7.313 0.000
3.660 0.000 0.000
```

Computed properties:
- E_tot: -81.669 eV for the cell shown
- Mass density: 7.6 g/cm3
- Energy of formation from the pure elements: 0.0207 eV per atom

First-principles (PBE-GGA) data for an optimized crystal structure of La8Tm5Th, as listed in Alexandria.

POSCAR file:
```
La8Tm5Th
1.0
8.588 0.000 0.000
-1.116 8.649 0.000
-4.013 -4.009 6.640
La Tm Th
8 5 1
Cartesian
0.000 0.000 0.000
-2.442 5.343 2.861
0.338 3.708 0.915
-0.495 0.443 3.510
-0.717 -2.332 5.870
0.695 3.897 4.372
3.087 1.596 2.828
3.903 7.758 0.944
-2.808 2.383 5.291
0.916 6.806 2.386
2.262 1.097 5.966
6.016 2.300 1.326
4.793 -1.071 4.357
3.391 4.588 1.040
```

Computed properties:
- E_tot: -66.786 eV for the cell shown
- Mass density: 7.4 g/cm3
- Energy of formation from the pure elements: 0.1722 eV per atom

- Which formula does entry 4 have?
  La8Tm5Th